Record 1
# LiPb2C2O6

LiPb2C2O6 after structural relaxation (PBE, Alexandria via LeMat-Bulk).

abc: 5.2582 5.2589 6.8369
angles: 112.23 90.00 120.00
Last column: nearest neighbours and their distance in Å.
Fractional positions:
O 0.2386 0.4771 0.2838  1 C 1.31
O 0.2383 0.0466 0.2832  1 C 1.31
C 0.9021 0.8042 0.7080  3 O 1.31
Li 0.5000 0.0000 0.5000  6 O 2.18-2.19
Pb 0.2646 0.5293 0.7983  6 O 2.68-2.69
O 0.7617 0.9534 0.7168  1 C 1.31
O 0.1917 0.9534 0.7168  1 C 1.31
C 0.0979 0.1958 0.2920  3 O 1.31
O 0.7614 0.5229 0.7162  1 C 1.31
O 0.8083 0.0466 0.2832  1 C 1.31
Pb 0.7354 0.4707 0.2017  6 O 2.68-2.69

Formation energy from raw total energies ... -1.32 eV per atom



Record 2
# AcMg2Sb

AcMg2Sb after structural relaxation (PBE, Alexandria via LeMat-Bulk).

abc: 3.9989 3.9989 7.2712
angles: 90.00 90.00 90.00
Last column: nearest neighbours and their distance in Å.
Fractional positions:
Ac 0.5000 0.5000 0.5000  8 Mg 3.58, 2 Sb 3.64, 4 Ac 4.00
Mg 0.0000 0.0000 0.1988  1 Mg 2.89, 4 Sb 3.18
Mg 0.0000 0.0000 0.8012  1 Mg 2.89, 4 Sb 3.18
Sb 0.5000 0.5000 0.0000  8 Mg 3.18

Formation energy from raw total energies ... -0.21 eV per atom



Record 3
# Sm8Tm4Sc

Sm8Tm4Sc after structural relaxation (PBE, Alexandria via LeMat-Bulk).

abc: 7.2019 7.2019 10.2345
angles: 90.00 110.60 120.00
Last column: nearest neighbours and their distance in Å.
Fractional positions:
Tm 0.0000 0.0000 0.0000  6 Sm 3.37, 6 Tm 3.60
Sm 0.5714 0.7857 0.3572  9 Sm 3.65-3.76, 3 Tm 3.93
Tm 0.5000 0.0000 0.0000  6 Sm 3.52-3.93, 6 Tm 3.60
Sm 0.9553 0.7477 0.7030  1 Sc 2.94
Sm 0.0447 0.2523 0.2970  1 Sc 2.94
Sm 0.4286 0.2143 0.6428  9 Sm 3.65-3.76, 3 Tm 3.93
Sm 0.5047 0.2523 0.2970  1 Sc 2.94
Tm 0.0000 0.5000 0.0000  6 Sm 3.52-3.93, 6 Tm 3.60
Tm 0.5000 0.5000 0.0000  6 Sm 3.52-3.93, 6 Tm 3.60
Sm 0.0447 0.7923 0.2970  1 Sc 2.94
Sm 0.4953 0.7477 0.7030  1 Sc 2.94
Sm 0.9553 0.2077 0.7030  1 Sc 2.94
Sc 0.0000 0.5000 0.5000  6 Sm 2.94

DFT formation energy ... 0.19 eV per atom



Record 4
# Nd2Sm5Ga4

Nd2Sm5Ga4 after structural relaxation (PBE, Alexandria via LeMat-Bulk).

abc: 3.5210 7.1958 13.0881
angles: 89.29 97.73 90.00
Last column: nearest neighbours and their distance in Å.
Fractional positions:
Sm 0.7657 0.7736 0.5313  3 Ga 3.01-3.05
Nd 0.9052 0.6956 0.8104  4 Ga 3.08-3.14
Nd 0.0948 0.3044 0.1896  4 Ga 3.08-3.14
Sm 0.5000 0.0000 0.0000  4 Ga 3.11
Sm 0.8658 0.1869 0.7317  3 Ga 3.02-3.07
Ga 0.6771 0.5071 0.3542  5 Sm 3.01-3.05, 2 Nd 3.14
Sm 0.2343 0.2264 0.4687  3 Ga 3.01-3.05
Ga 0.3229 0.4929 0.6458  5 Sm 3.01-3.05, 2 Nd 3.14
Ga 0.0248 0.6531 0.0496  1 Ga 2.57
Sm 0.1342 0.8131 0.2683  3 Ga 3.02-3.07
Ga 0.9752 0.3469 0.9504  1 Ga 2.57

DFT formation energy ... -0.17 eV per atom



Record 5
# MgIn2Br6

MgIn2Br6 after structural relaxation (PBE, Alexandria via LeMat-Bulk).

abc: 10.3161 8.7189 8.7189
angles: 79.06 76.09 76.09
Last column: nearest neighbours and their distance in Å.
Fractional positions:
Br 0.8551 0.1998 0.9853  1 Mg 2.57, 1 In 2.78
Br 0.4626 0.3833 0.3027  2 In 2.73-2.74
Br 0.2945 0.0490 0.6490  1 Mg 2.55, 1 In 2.81
Mg 0.7500 0.9496 0.0504  4 Br 2.55-2.57
In 0.7640 0.7072 0.7305  4 Br 2.73-2.81
Br 0.1449 0.8002 0.0147  1 Mg 2.57, 1 In 2.78
In 0.7360 0.2695 0.2928  4 Br 2.73-2.81
Br 0.5374 0.6167 0.6973  2 In 2.73-2.74
Br 0.6449 0.0147 0.8002  1 Mg 2.57, 1 In 2.78
Br 0.0374 0.6973 0.6167  2 In 2.73-2.74
Br 0.7945 0.6490 0.0490  1 Mg 2.55, 1 In 2.81
Br 0.2055 0.3510 0.9510  1 Mg 2.55, 1 In 2.81
In 0.2360 0.2928 0.2695  4 Br 2.73-2.81
Br 0.9626 0.3027 0.3833  2 In 2.73-2.74
Mg 0.2500 0.0504 0.9496  4 Br 2.55-2.57
Br 0.7055 0.9510 0.3510  1 Mg 2.55, 1 In 2.81
Br 0.3551 0.9853 0.1998  1 Mg 2.57, 1 In 2.78
In 0.2640 0.7305 0.7072  4 Br 2.73-2.81

Formation energy from raw total energies ... -0.89 eV per atom



Record 6
# LaDy2Sc2

LaDy2Sc2 after structural relaxation (PBE, Alexandria via LeMat-Bulk).

abc: 5.5090 6.8036 9.1892
angles: 111.73 107.44 90.00
Last column: nearest neighbours and their distance in Å.
Fractional positions:
Dy 0.3754 0.6254 0.2509  6 Sc 3.39-3.40, 2 La 3.40, 2 Dy 3.41
Sc 0.8084 0.3152 0.1169  4 Sc 3.31-3.49, 5 Dy 3.39-3.55, 3 La 3.44-3.46
Dy 0.9997 0.2497 0.4993  2 La 3.40, 4 Dy 3.40-3.41, 4 Sc 3.52-3.55
La 0.3762 0.1262 0.2524  4 Dy 3.40, 6 Sc 3.44-3.46
Sc 0.1916 0.1983 0.8831  4 Sc 3.31-3.49, 5 Dy 3.39-3.55, 3 La 3.44-3.46
Sc 0.8084 0.8017 0.1169  4 Sc 3.31-3.49, 5 Dy 3.39-3.55, 3 La 3.44-3.46
Dy 0.0003 0.7503 0.5007  2 La 3.40, 4 Dy 3.40-3.41, 4 Sc 3.52-3.55
Dy 0.6246 0.3746 0.7491  6 Sc 3.39-3.40, 2 La 3.40, 2 Dy 3.41
La 0.6238 0.8738 0.7476  4 Dy 3.40, 6 Sc 3.44-3.46
Sc 0.1916 0.6848 0.8831  4 Sc 3.31-3.49, 5 Dy 3.39-3.55, 3 La 3.44-3.46

DFT formation energy ... 0.13 eV per atom



Record 7
# Mn4SiPb

Mn4SiPb after structural relaxation (PBE, Alexandria via LeMat-Bulk).

abc: 4.9677 4.9677 4.9677
angles: 60.00 60.00 60.00
Last column: nearest neighbours and their distance in Å.
Fractional positions:
Si 0.0000 0.0000 0.0000  12 Mn 2.91, 4 Pb 3.04
Mn 0.3740 0.3740 0.8780  6 Mn 2.46-2.50
Mn 0.3740 0.8780 0.3740  6 Mn 2.46-2.50
Mn 0.3740 0.3740 0.3740  6 Mn 2.46-2.50
Pb 0.7500 0.7500 0.7500  12 Mn 2.91, 4 Si 3.04
Mn 0.8780 0.3740 0.3740  6 Mn 2.46-2.50

Formation energy from raw total energies ... 0.47 eV per atom



Record 8
# PrU3P4

PrU3P4 after structural relaxation (PBE, Alexandria via LeMat-Bulk).

abc: 3.9689 6.9518 6.9518
angles: 70.95 90.00 90.00
Last column: nearest neighbours and their distance in Å.
Fractional positions:
P 0.4999 0.7560 0.2558  5 U 2.76-2.83, 1 Pr 2.90
U 0.9999 0.5001 0.5000  6 P 2.83
P 0.0000 0.2370 0.2631  4 U 2.76-2.83, 2 Pr 2.91
P 0.0000 0.7632 0.7369  4 U 2.76-2.83, 2 Pr 2.91
U 0.9999 0.0001 0.0000  6 P 2.83
U 0.5000 0.0001 0.5000  6 P 2.76
Pr 0.5000 0.5001 0.0000  6 P 2.90-2.91
P 0.4999 0.2442 0.7441  5 U 2.76-2.83, 1 Pr 2.90

DFT formation energy ... -1.08 eV per atom



Record 9
# ReSb2TeI

ReSb2TeI after structural relaxation (PBE, Alexandria via LeMat-Bulk).

abc: 5.1635 5.1635 5.5352
angles: 90.00 90.00 90.00
Last column: nearest neighbours and their distance in Å.
Fractional positions:
Te 0.5000 0.5000 0.5000  4 I 3.65, 8 Sb 3.78
I 0.0000 0.0000 0.5000  2 Re 2.77
Sb 0.5000 0.0000 0.0000  2 Re 2.58
Re 0.0000 0.0000 0.0000  4 Sb 2.58, 2 I 2.77
Sb 0.0000 0.5000 0.0000  2 Re 2.58

Formation energy from raw total energies ... 0.64 eV per atom



Record 10
# Mg2Hg2Pb

Mg2Hg2Pb after structural relaxation (PBE, Alexandria via LeMat-Bulk).

abc: 4.9997 4.9997 5.9684
angles: 90.00 90.00 120.00
Last column: nearest neighbours and their distance in Å.
Fractional positions:
Hg 0.3333 0.6667 0.6481  5 Mg 2.85-3.12
Mg 0.3333 0.6667 0.1708  5 Hg 2.85-3.12, 3 Pb 3.06
Hg 0.6667 0.3333 0.3519  5 Mg 2.85-3.12
Pb 0.0000 0.0000 0.0000  6 Mg 3.06
Mg 0.6667 0.3333 0.8292  5 Hg 2.85-3.12, 3 Pb 3.06

DFT formation energy ... -0.06 eV per atom



Record 11
# Pr3Hg2Pd7

Pr3Hg2Pd7 after structural relaxation (PBE, Alexandria via LeMat-Bulk).

abc: 4.0983 4.2423 15.0819
angles: 98.04 90.00 90.00
Last column: nearest neighbours and their distance in Å.
Fractional positions:
Pr 0.0000 0.8122 0.6233  6 Pd 3.12-3.35, 4 Hg 3.40
Pr 0.0000 0.1878 0.3767  6 Pd 3.12-3.35, 4 Hg 3.40
Pd 0.5000 0.9286 0.8567  2 Hg 2.78, 6 Pd 2.95-2.96, 2 Pr 3.01
Pr 0.5000 0.5000 0.0000  12 Pd 2.94-3.01
Pd 0.5000 0.2770 0.5540  2 Pd 2.66-2.67, 1 Hg 2.72
Pd 0.0000 0.5703 0.1412  2 Hg 2.75, 2 Pr 2.94, 6 Pd 2.95-2.99
Pd 0.5000 0.7230 0.4460  2 Pd 2.66-2.67, 1 Hg 2.72
Pd 0.5000 0.0714 0.1433  2 Hg 2.78, 6 Pd 2.95-2.96, 2 Pr 3.01
Pd 0.0000 0.0000 0.0000  4 Pr 2.95, 8 Pd 2.96-2.99
Hg 0.5000 0.6318 0.2640  5 Pd 2.72-2.78
Pd 0.0000 0.4297 0.8588  2 Hg 2.75, 2 Pr 2.94, 6 Pd 2.95-2.99
Hg 0.5000 0.3682 0.7360  5 Pd 2.72-2.78

DFT formation energy ... -0.56 eV per atom



Record 12
# AcPr3S6

AcPr3S6 after structural relaxation (PBE, Alexandria via LeMat-Bulk).

abc: 6.9965 7.5121 10.9058
angles: 90.00 88.65 90.00
Last column: nearest neighbours and their distance in Å.
Fractional positions:
Ac 0.5000 0.5000 0.5000  6 S 2.88-3.07
S 0.6802 0.1941 0.9069  3 Pr 2.80-3.06, 1 Ac 2.88
S 0.3336 0.5800 0.7570  3 Pr 2.92-2.98, 1 Ac 3.07
S 0.8336 0.9200 0.2570  3 Pr 2.92-2.98, 1 Ac 3.07
S 0.3077 0.8100 0.4054  3 Pr 2.76-3.04, 1 Ac 2.89
Pr 0.4561 0.0834 0.2485  6 S 2.85-3.06
S 0.1802 0.3059 0.4069  3 Pr 2.80-3.06, 1 Ac 2.88
S 0.6923 0.1900 0.5946  3 Pr 2.76-3.04, 1 Ac 2.89
S 0.6664 0.4200 0.2430  3 Pr 2.92-2.98, 1 Ac 3.07
S 0.1923 0.3100 0.0946  3 Pr 2.76-3.04, 1 Ac 2.89
Pr 0.0439 0.5834 0.2515  6 S 2.85-3.06
Ac 0.0000 0.0000 0.0000  6 S 2.88-3.07
S 0.3198 0.8059 0.0931  3 Pr 2.80-3.06, 1 Ac 2.88
S 0.1664 0.0800 0.7430  3 Pr 2.92-2.98, 1 Ac 3.07
S 0.8077 0.6900 0.9054  3 Pr 2.76-3.04, 1 Ac 2.89
Pr 0.9561 0.4166 0.7485  6 S 2.85-3.06
Pr 0.5439 0.9166 0.7515  6 S 2.85-3.06
S 0.8198 0.6941 0.5931  3 Pr 2.80-3.06, 1 Ac 2.88
Pr 0.0000 0.0000 0.5000  6 S 2.76-2.98
Pr 0.5000 0.5000 0.0000  6 S 2.76-2.98

Formation energy from raw total energies ... -1.98 eV per atom



Q: Which ρ values were calculated for the entries above? A: 6.1 5.7 7.6 6.7 3.3 6.1 8.7 9.0 7.7 8.4 10.0 4.9, in g cm⁻³.